No. 1
# TlB2Br PBE relaxed
# **DFT total energy**: -46.49 eV/cell
# **D(E_F)**: 0.02 states/eV/atom
# **Energy above the lowest structure with this stoichiometry**: 0.000 eV/atom
# **E_form (uncorrected)**: 1.44 eV/atom
# **M_tot**: 0.0 Bohr magnetons per cell
data_TlB2Br
_chemical_formula_sum 'Tl4 B8 Br4'
_space_group_name_H-M_alt 'I -4 2 d'
_space_group_IT_number 122
_space_group_name_Hall 'I -4 2bw'
_cell_length_a 5.4242
_cell_length_b 5.4242
_cell_length_c 10.9852
_cell_angle_alpha 90.00
_cell_angle_beta 90.00
_cell_angle_gamma 90.00
loop_
_atom_site_label
_atom_site_type_symbol
_atom_site_fract_x
_atom_site_fract_y
_atom_site_fract_z
Tl1 Tl 0.0000 0.0000 0.0000
B1 B 0.2363 0.2500 0.1250
Br1 Br 0.0000 0.0000 0.5000

=====

No. 2
# TlBBr2 PBE relaxed
# **DFT total energy**: -30.54 eV/cell
# **D(E_F)**: 0.71 states/eV/atom
# **Energy above the lowest structure with this stoichiometry**: 0.124 eV/atom
# **E_form (uncorrected)**: 0.55 eV/atom
# **M_tot**: 0.0 Bohr magnetons per cell
data_TlBBr2
_chemical_formula_sum 'Tl3 B3 Br6'
_space_group_name_H-M_alt 'R -3 m'
_space_group_IT_number 166
_space_group_name_Hall '-R 3 2"'
_cell_length_a 3.5464
_cell_length_b 3.5464
_cell_length_c 28.1366
_cell_angle_alpha 90.00
_cell_angle_beta 90.00
_cell_angle_gamma 120.00
loop_
_atom_site_label
_atom_site_type_symbol
_atom_site_fract_x
_atom_site_fract_y
_atom_site_fract_z
Tl1 Tl 0.0000 0.0000 0.0000
B1 B 0.0000 0.0000 0.5000
Br1 Br 0.0000 0.0000 0.1150

=====

No. 3
# TlB3Br PBE relaxed
# **DFT total energy**: -12.43 eV/cell
# **D(E_F)**: 0.67 states/eV/atom
# **Energy above the lowest structure with this stoichiometry**: 0.000 eV/atom
# **E_form (uncorrected)**: 2.33 eV/atom
# **M_tot**: 0.0 Bohr magnetons per cell
data_TlB3Br
_chemical_formula_sum 'Tl1 B3 Br1'
_space_group_name_H-M_alt 'P m -3 m'
_space_group_IT_number 221
_space_group_name_Hall '-P 4 2 3'
_cell_length_a 4.7262
_cell_length_b 4.7262
_cell_length_c 4.7262
_cell_angle_alpha 90.00
_cell_angle_beta 90.00
_cell_angle_gamma 90.00
loop_
_atom_site_label
_atom_site_type_symbol
_atom_site_fract_x
_atom_site_fract_y
_atom_site_fract_z
Tl1 Tl 0.0000 0.0000 0.0000
B1 B 0.0000 0.0000 0.5000
Br1 Br 0.5000 0.5000 0.5000

=====

No. 4
# TlBBr3 PBE relaxed
# **DFT total energy**: -13.63 eV/cell
# **D(E_F)**: 0.45 states/eV/atom
# **Energy above the lowest structure with this stoichiometry**: 0.686 eV/atom
# **E_form (uncorrected)**: 0.09 eV/atom
# **M_tot**: 0.0 Bohr magnetons per cell
data_TlBBr3
_chemical_formula_sum 'Tl1 B1 Br3'
_space_group_name_H-M_alt 'P m -3 m'
_space_group_IT_number 221
_space_group_name_Hall '-P 4 2 3'
_cell_length_a 4.9702
_cell_length_b 4.9702
_cell_length_c 4.9702
_cell_angle_alpha 90.00
_cell_angle_beta 90.00
_cell_angle_gamma 90.00
loop_
_atom_site_label
_atom_site_type_symbol
_atom_site_fract_x
_atom_site_fract_y
_atom_site_fract_z
Tl1 Tl 0.0000 0.0000 0.0000
B1 B 0.5000 0.5000 0.5000
Br1 Br 0.0000 0.5000 0.5000

=====

No. 5
# Tl2B2Br7 PBE relaxed
# **DFT total energy**: -136.98 eV/cell
# **D(E_F)**: 0.24 states/eV/atom
# **Energy above the lowest structure with this stoichiometry**: 0.000 eV/atom
# **E_form (uncorrected)**: -0.40 eV/atom
# **M_tot**: 0.0 Bohr magnetons per cell
data_Tl2B2Br7
_chemical_formula_sum 'Tl8 B8 Br28'
_space_group_name_H-M_alt 'C 1 2/c 1'
_space_group_IT_number 15
_cell_length_a 9.1807
_cell_length_b 11.7009
_cell_length_c 16.0903
_cell_angle_alpha 90.00
_cell_angle_beta 94.91
_cell_angle_gamma 90.00
loop_
_space_group_symop_operation_xyz
'x,y,z'
'-x,-y,-z'
'-x,y,-z+1/2'
'x,-y,z+1/2'
'x+1/2,y+1/2,z'
'-x+1/2,-y+1/2,-z'
'-x+1/2,y+1/2,-z+1/2'
'x+1/2,-y+1/2,z+1/2'
loop_
_atom_site_label
_atom_site_type_symbol
_atom_site_fract_x
_atom_site_fract_y
_atom_site_fract_z
Tl1 Tl 0.1223 0.1267 0.0002
B1 B 0.1880 0.2686 0.2948
Br1 Br 0.0000 0.3702 0.2500
Br2 Br 0.1233 0.1329 0.3578
Br3 Br 0.1961 0.1189 0.6308
Br4 Br 0.2061 0.2763 0.8035

=====

No. 6
# TlB3Br PBE relaxed
# **DFT total energy**: -11.93 eV/cell
# **D(E_F)**: 0.52 states/eV/atom
# **Energy above the lowest structure with this stoichiometry**: 0.100 eV/atom
# **E_form (uncorrected)**: 2.43 eV/atom
# **M_tot**: 0.0 Bohr magnetons per cell
data_TlB3Br
_chemical_formula_sum 'Tl1 B3 Br1'
_space_group_name_H-M_alt 'P m -3 m'
_space_group_IT_number 221
_space_group_name_Hall '-P 4 2 3'
_cell_length_a 4.3183
_cell_length_b 4.3183
_cell_length_c 4.3183
_cell_angle_alpha 90.00
_cell_angle_beta 90.00
_cell_angle_gamma 90.00
loop_
_atom_site_label
_atom_site_type_symbol
_atom_site_fract_x
_atom_site_fract_y
_atom_site_fract_z
Tl1 Tl 0.0000 0.0000 0.0000
B1 B 0.0000 0.5000 0.5000
Br1 Br 0.5000 0.5000 0.5000

=====

No. 7
# TlBBr2 PBE relaxed
# **DFT total energy**: -39.33 eV/cell
# **D(E_F)**: 0.00 states/eV/atom
# **Energy above the lowest structure with this stoichiometry**: 0.211 eV/atom
# **E_form (uncorrected)**: 0.64 eV/atom
# **M_tot**: 0.0 Bohr magnetons per cell
data_TlBBr2
_chemical_formula_sum 'Tl4 B4 Br8'
_space_group_name_H-M_alt 'F m -3 m'
_space_group_IT_number 225
_space_group_name_Hall '-F 4 2 3'
_cell_length_a 7.5992
_cell_length_b 7.5992
_cell_length_c 7.5992
_cell_angle_alpha 90.00
_cell_angle_beta 90.00
_cell_angle_gamma 90.00
loop_
_atom_site_label
_atom_site_type_symbol
_atom_site_fract_x
_atom_site_fract_y
_atom_site_fract_z
Tl1 Tl 0.0000 0.0000 0.0000
B1 B 0.0000 0.0000 0.5000
Br1 Br 0.2500 0.2500 0.2500

=====

No. 8
# TlBBr3 PBE relaxed
# **DFT total energy**: -68.25 eV/cell
# **D(E_F)**: 0.00 states/eV/atom
# **Energy above the lowest structure with this stoichiometry**: 0.000 eV/atom
# **E_form (uncorrected)**: -0.60 eV/atom
# **M_tot**: 0.0 Bohr magnetons per cell
data_TlBBr3
_chemical_formula_sum 'Tl4 B4 Br12'
_space_group_name_H-M_alt 'P 1 21/c 1'
_space_group_IT_number 14
_cell_length_a 7.2343
_cell_length_b 7.9912
_cell_length_c 12.7777
_cell_angle_alpha 90.00
_cell_angle_beta 123.17
_cell_angle_gamma 90.00
loop_
_space_group_symop_operation_xyz
'x,y,z'
'-x,-y,-z'
'-x,y+1/2,-z+1/2'
'x,-y+1/2,z+1/2'
loop_
_atom_site_label
_atom_site_type_symbol
_atom_site_fract_x
_atom_site_fract_y
_atom_site_fract_z
Tl1 Tl 0.2119 0.0954 0.2493
B1 B 0.0771 0.5840 0.0446
Br1 Br 0.1242 0.2248 0.9617
Br2 Br 0.2627 0.6878 0.9825
Br3 Br 0.2914 0.5222 0.2310

=====

What is the D(E_F) in the second record? 0.71 states/eV/atom

=====

What did the seventh record say?
# TlBBr2 PBE relaxed
# **DFT total energy**: -39.33 eV/cell
# **D(E_F)**: 0.00 states/eV/atom
# **Energy above the lowest structure with this stoichiometry**: 0.211 eV/atom
# **E_form (uncorrected)**: 0.64 eV/atom
# **M_tot**: 0.0 Bohr magnetons per cell
data_TlBBr2
_chemical_formula_sum 'Tl4 B4 Br8'
_space_group_name_H-M_alt 'F m -3 m'
_space_group_IT_number 225
_space_group_name_Hall '-F 4 2 3'
_cell_length_a 7.5992
_cell_length_b 7.5992
_cell_length_c 7.5992
_cell_angle_alpha 90.00
_cell_angle_beta 90.00
_cell_angle_gamma 90.00
loop_
_atom_site_label
_atom_site_type_symbol
_atom_site_fract_x
_atom_site_fract_y
_atom_site_fract_z
Tl1 Tl 0.0000 0.0000 0.0000
B1 B 0.0000 0.0000 0.5000
Br1 Br 0.2500 0.2500 0.2500